This record from Alexandria via LeMat-Bulk describes an optimized crystal structure of Ac2In3Au9. The functional is PBE.

Structure (POSCAR):
```
Ac2In3Au9
1.0
7.396 -4.116 0.000
7.396 4.116 0.000
-5.018 0.000 10.398
Ac In Au
4 6 18
Direct
0.083 0.252 0.246
0.252 0.083 0.746
0.748 0.917 0.254
0.917 0.748 0.754
0.000 0.500 0.000
0.135 0.698 0.507
0.302 0.865 0.993
0.500 0.000 0.500
0.698 0.135 0.007
0.865 0.302 0.493
0.057 0.839 0.100
0.161 0.943 0.400
0.195 0.369 0.575
0.218 0.559 0.260
0.309 0.479 0.932
0.368 0.632 0.750
0.369 0.195 0.075
0.441 0.782 0.240
0.479 0.309 0.432
0.521 0.691 0.568
0.559 0.218 0.760
0.631 0.805 0.925
0.632 0.368 0.250
0.691 0.521 0.068
0.782 0.441 0.740
0.805 0.631 0.425
0.839 0.057 0.600
0.943 0.161 0.900
```

Symmetry: C2/c, No. 15
E_tot (eV/atom): -3.78
Fermi-level density of states (states/eV per cell): 9.84
Calculated density (g/cm³): 13.5